[1]
DFT (PBE) results for a geometry-optimized TmGeSe structure.

Cell lengths 3.8349, 3.8349, 17.9703 Å; angles 90.00, 90.00, 90.00 degrees
Closest atoms and distances in Å follow each position.
Space group I4/mmm (No. 139)
Asymmetric unit:
Tm: 0.0000 0.0000 0.1424 x4  5 Se 2.84-3.02
Ge: 0.0000 0.5000 0.0000 x4  4 Ge 2.71
Se: 0.0000 0.0000 0.3106 x4  5 Tm 2.84-3.02

Properties
- ΔE_f (raw): -1164 meV/atom

[2]
DFT (PBE) results for a geometry-optimized SbOs4 structure.

Cell lengths 6.2618, 6.2618, 3.9467 Å; angles 90.00, 90.00, 90.00 degrees
Closest atoms and distances in Å follow each position.
Space group I4/m (No. 87)
Asymmetric unit:
Sb: 0.0000 0.0000 0.0000 x2  12 Os 2.76-2.86
Os: 0.1002 0.3150 0.5000 x8  9 Os 2.63-2.93, 3 Sb 2.76-2.86

Properties
- ΔE_f (raw): 469 meV/atom

[3]
DFT (PBE) results for a geometry-optimized Hf8BiH2 structure.

Cell lengths 11.9363, 6.4912, 5.8426 Å; angles 90.00, 98.74, 90.00 degrees
Closest atoms and distances in Å follow each position.
Space group C2/m (No. 12)
Asymmetric unit:
Hf: 0.0983 0.2255 0.1882 x8  1 H 2.10
Hf: 0.1284 0.0000 0.6994 x4  1 H 2.16
Hf: 0.1921 0.5000 0.8469 x4  1 H 2.01
Bi: 0.0000 0.5000 0.5000 x2  6 Hf 2.82-2.92, 2 H 3.12
H: 0.1908 0.5000 0.1899 x4  4 Hf 2.01-2.16

Properties
- VASP energy: -8.146 eV/atom